Material: FeAg2Au
Method: DFT, PBE
State: relaxed

a = 3.939 Å, b = 3.939 Å, c = 4.332 Å
α = 90.00°, β = 90.00°, γ = 90.00°
Fractional positions:
Fe  0.000  0.000  0.000
Ag  0.000  0.500  0.500
Ag  0.500  0.000  0.500
Au  0.500  0.500  0.000

Space-group type: P4/mmm, No. 123
Crystal system: tetragonal
Excess energy over the best structure of this formula in the dataset in eV/f.u.: 0.48